Record 1
CaLa3Fe4O12 meta-GGA SCAN PBEsol geometry; VASP energy = -16.960 eV/atom; D(E_F) = 6.03 states/eV per cell; ΔE_f (raw) = -2.65 eV per atom
1.0
5.390 0.008 0.000
0.002 5.357 0.000
0.000 0.000 7.580
O Ca Fe La
12 1 4 3
direct
0.549 0.989 0.500 O
0.768 0.232 0.771 O
0.451 0.017 0.000 O
0.230 0.770 0.726 O
0.059 0.494 0.000 O
0.731 0.731 0.218 O
0.950 0.508 0.500 O
0.264 0.265 0.282 O
0.230 0.770 0.274 O
0.731 0.731 0.782 O
0.264 0.265 0.718 O
0.768 0.232 0.229 O
0.506 0.480 0.000 Ca
0.000 0.500 0.245 Fe
0.500 0.000 0.246 Fe
0.000 0.500 0.755 Fe
0.500 0.000 0.754 Fe
0.997 0.986 0.000 La
0.498 0.514 0.500 La
0.002 0.014 0.500 La

***

Record 2
LiNbAl2Re meta-GGA SCAN PBEsol geometry; formation energy from the elements = 0.9269 eV per atom; VASP energy = -23.497 eV/atom; D(E_F) = 3.29 states/eV per cell
1.0
4.375 0.000 0.000
0.000 4.584 0.000
0.000 0.000 4.584
Al Nb Li Re
2 1 1 1
direct
0.000 0.500 0.000 Al
0.000 0.000 0.500 Al
0.500 0.500 0.500 Nb
0.500 0.000 0.000 Li
0.000 0.000 0.000 Re

***

Record 3
Sc3Al3C2O5 meta-GGA SCAN PBEsol geometry; VASP energy = -11.603 eV/atom; ΔE_f (raw) = -2.58 eV per atom
1.0
3.250 0.000 0.000
-1.625 2.814 0.000
0.000 0.000 31.461
Sc O C Al
6 10 4 6
direct
0.333 0.667 0.659 Sc
0.000 0.000 0.500 Sc
0.000 0.000 0.000 Sc
0.333 0.667 0.841 Sc
0.667 0.333 0.341 Sc
0.667 0.333 0.159 Sc
0.333 0.667 0.128 O
0.000 0.000 0.191 O
0.000 0.000 0.809 O
0.667 0.333 0.628 O
0.000 0.000 0.691 O
0.667 0.333 0.250 O
0.333 0.667 0.372 O
0.333 0.667 0.750 O
0.000 0.000 0.309 O
0.667 0.333 0.872 O
0.667 0.333 0.046 C
0.333 0.667 0.954 C
0.667 0.333 0.454 C
0.333 0.667 0.546 C
0.000 0.000 0.250 Al
0.667 0.333 0.931 Al
0.333 0.667 0.431 Al
0.000 0.000 0.750 Al
0.333 0.667 0.069 Al
0.667 0.333 0.569 Al

***

Record 4
SbTe2PbI meta-GGA SCAN PBEsol geometry; VASP energy = -44.637 eV/atom; D(E_F) = 1.73 states/eV per cell; ΔE_f (raw) = 0.22 eV per atom
1.0
-1.366 -5.060 2.213
3.734 0.853 4.255
-4.116 2.475 3.116
Sb Te I Pb
1 2 1 1
direct
0.000 0.000 0.000 Sb
0.000 0.000 0.500 Te
0.000 0.500 0.000 Te
0.500 0.000 0.000 I
0.500 0.500 0.500 Pb

***

Record 5
BeAlPb2 meta-GGA SCAN PBEsol geometry; formation energy from the elements = 0.5484 eV per atom; VASP energy = -40.368 eV/atom; D(E_F) = 1.60 states/eV per cell
1.0
3.993 0.000 0.000
0.000 4.353 0.000
0.000 0.000 5.091
Pb Al Be
2 1 1
direct
0.000 0.500 0.500 Pb
0.000 0.000 0.000 Pb
0.500 0.500 0.000 Al
0.500 0.000 0.500 Be

***

Record 6
NaFeH2 meta-GGA SCAN PBEsol geometry; VASP energy = -7.241 eV/atom; D(E_F) = 1.60 states/eV per cell
1.0
-4.675 -0.754 -0.242
2.572 -0.957 -3.866
-1.477 -4.494 -0.321
H Fe Na
4 2 2
direct
0.911 0.625 0.964 H
0.589 0.964 0.125 H
0.089 0.125 0.286 H
0.411 0.286 0.625 H
0.000 0.000 0.000 Fe
0.500 0.250 0.250 Fe
0.000 0.500 0.500 Na
0.500 0.750 0.750 Na

***

Record 7
LaTeMo4 meta-GGA SCAN PBEsol geometry; VASP energy = -36.180 eV/atom; D(E_F) = 4.48 states/eV per cell; ΔE_f (raw) = 0.47 eV per atom
1.0
-1.461 5.234 -0.335
-4.152 1.864 2.988
0.945 3.363 4.176
Mo La Te
4 1 1
direct
0.377 0.377 0.377 Mo
0.377 0.870 0.377 Mo
0.870 0.377 0.377 Mo
0.377 0.377 0.870 Mo
0.000 0.000 0.000 La
0.750 0.750 0.750 Te

***

Record 8
LiW2Cl meta-GGA SCAN PBEsol geometry; VASP energy = -36.251 eV/atom; D(E_F) = 3.08 states/eV per cell; ΔE_f (raw) = 1.19 eV per atom
1.0
-0.989 -0.251 2.473
-0.626 -2.551 -0.509
7.739 -2.465 2.843
W Cl Li
2 1 1
direct
0.000 0.000 0.758 W
0.000 0.000 0.242 W
0.500 0.500 0.000 Cl
0.500 0.500 0.500 Li

***

> What is the VASP energy in the sixth record?

-7.241 eV/atom